No. 1
# Be2FeSi2Ni2Ir

An optimized crystal structure of Be2FeSi2Ni2Ir (PBE, OQMD).

The structure in POSCAR format:
```
Be2FeSi2Ni2Ir
1.0
-2.740 -1.798 2.109
-0.743 -2.381 -2.995
3.797 -3.567 1.893
Be Fe Ir Ni Si
2 1 1 2 2
direct
0.000 0.500 0.235
0.500 0.000 0.765
0.000 0.000 0.000
0.500 0.500 0.500
0.500 0.500 0.000
0.000 0.000 0.500
0.500 0.000 0.233
0.000 0.500 0.767
```

## Properties
* crystal system: tetragonal
* space group: P-4m2, No. 115

No. 2
# InCo2Pt

An optimized crystal structure of InCo2Pt (PBE, OQMD).

The structure in POSCAR format:
```
InCo2Pt
1.0
-1.125 -3.573 2.240
-4.151 -1.348 0.017
-1.120 -3.644 -2.124
Co In Pt
2 1 1
direct
0.000 0.000 0.000
0.750 0.750 0.750
0.500 0.500 0.500
0.250 0.250 0.250
```

## Properties
* crystal system: cubic
* space group: F-43m, No. 216

No. 3
# ErZrNp

An optimized crystal structure of ErZrNp (PBE, OQMD).

The structure in POSCAR format:
```
ErZrNp
1.0
-2.082 2.999 3.245
-3.821 2.746 -1.313
-4.447 -1.006 1.753
Er Np Zr
1 1 1
direct
0.000 0.000 0.000
0.250 0.250 0.250
0.750 0.750 0.750
```

## Properties
* energy relative to the elements: 1.283 eV/atom
* crystal system: cubic
* space group: F-43m, No. 216

No. 4
# Gd2As2O5

An optimized crystal structure of Gd2As2O5 (PBE, OQMD).

The structure in POSCAR format:
```
Gd2As2O5
1.0
6.825 0.000 0.000
0.000 4.109 0.000
0.000 0.000 4.109
As Gd O
2 2 5
direct
0.210 0.500 0.500
0.790 0.500 0.500
0.000 0.000 0.000
0.500 0.000 0.000
0.236 0.500 0.000
0.764 0.500 0.000
0.236 0.000 0.500
0.764 0.000 0.500
0.500 0.500 0.500
```

## Properties
* distance to the lowest polymorph of the same formula: 78 meV per atom
* crystal system: tetragonal
* space group: P4/mmm, No. 123

No. 5
# Rb2As2Pd

An optimized crystal structure of Rb2As2Pd (PBE, OQMD).

The structure in POSCAR format:
```
Rb2As2Pd
1.0
-7.044 3.127 2.783
1.719 -3.989 -6.948
-1.305 -5.425 2.792
As Pd Rb
4 2 4
direct
0.286 0.072 0.250
0.928 0.714 0.250
0.072 0.286 0.750
0.714 0.928 0.750
0.000 0.000 0.000
0.000 0.000 0.500
0.793 0.207 0.250
0.418 0.582 0.250
0.582 0.418 0.750
0.207 0.793 0.750
```

## Properties
* crystal system: orthorhombic
* space group: Cmcm, No. 63

No. 6
# MgBeCuSb

An optimized crystal structure of MgBeCuSb (PBE, OQMD).

The structure in POSCAR format:
```
MgBeCuSb
1.0
-1.524 -4.201 -1.130
0.779 -3.568 2.812
-3.490 -1.893 2.342
Be Cu Mg Sb
1 1 1 1
direct
0.750 0.750 0.750
0.250 0.250 0.250
0.500 0.500 0.500
0.000 0.000 0.000
```

## Properties
* distance to the lowest polymorph of the same formula: 0 meV per atom
* crystal system: cubic
* space group: F-43m, No. 216

| no. | E_tot (eV per atom) |
| --- | --- |
| 1 | -6.34 |
| 2 | -5.68 |
| 3 | -7.34 |
| 4 | -6.50 |
| 5 | -3.79 |
| 6 | -2.95 |